Entry 1:
The following is a DFT calculation (PBE) of crystalline Na3U2ZnTe6 at its relaxed geometry.

POSCAR file:
```
Na3U2ZnTe6
1.0
-2.451 -6.609 2.924
6.867 2.714 1.926
-4.537 4.975 4.122
Na U Zn Te
3 2 1 6
Cartesian
3.015 3.618 4.156 Na
-3.136 -2.537 4.815 Na
-0.060 0.540 4.486 Na
3.758 -0.397 2.259 U
0.658 -3.498 2.591 U
0.000 0.000 0.000 Zn
-1.639 -0.626 7.056 Te
2.300 -1.807 4.589 Te
1.518 1.706 1.916 Te
1.363 2.378 6.734 Te
-2.421 2.888 4.382 Te
-1.483 -1.297 2.237 Te
```

Computed properties:
- Final energy: -4.572 eV per atom
- Energy relative to the elements, uncorrected: -8.21 eV per formula unit

***

Entry 2:
The following is a DFT calculation (PBE) of crystalline PmMgAgF6 at its relaxed geometry.

POSCAR file:
```
PmMgAgF6
1.0
-1.370 1.774 -4.734
-3.430 -3.930 -0.481
-7.357 5.890 4.335
Pm Mg Ag F
2 2 2 12
Cartesian
-3.658 -0.070 -1.866 Pm
-4.937 3.953 2.910 Pm
-8.523 3.825 1.001 Mg
-2.445 1.958 1.441 Mg
-6.067 1.858 -0.446 Ag
-7.346 5.881 4.329 Ag
-6.649 -0.072 0.888 F
-5.306 3.646 -1.885 F
-8.821 5.107 2.577 F
-10.491 4.357 0.761 F
-4.469 -1.660 -0.462 F
-3.215 1.814 -3.053 F
-6.582 3.443 1.430 F
-8.458 2.601 -0.609 F
-7.848 5.277 -0.220 F
-8.965 2.186 2.085 F
-5.827 0.293 -2.429 F
-3.629 1.280 -0.041 F
```

Computed properties:
- Final energy: -5.437 eV per atom
- Energy relative to the elements, uncorrected: -28.51 eV per formula unit